Compound: PmY4Th
Source: Alexandria
Functional: PBE
Structure: optimized geometry

* energy of formation: 73 meV per atom
* excess energy over the best structure of this formula in the dataset: 0.0035 eV per atom

Lattice parameters (Å, degrees): 5.6899 5.6899 6.9700 90.00 90.00 120.00
Space group P6/mmm (No. 191)
One atom of each set of equivalent atoms:
Pm1 0.0000 0.0000 0.0000
Y1 0.3333 0.6667 0.2501
Th1 0.0000 0.0000 0.5000

=====

Compound: Pm2Y7Th2
Source: Alexandria
Functional: PBE
Structure: optimized geometry

* energy of formation: 189 meV per atom
* excess energy over the best structure of this formula in the dataset: 0.0033 eV per atom

Lattice parameters (Å, degrees): 11.184 11.603 6.136 90.00 112.87 90.00
Space group C2/m (No. 12)
One atom of each set of equivalent atoms:
Pm1 0.000 0.217 0.000
Y1 0.000 0.000 0.500
Y2 0.173 0.238 0.670
Y3 0.238 0.000 0.085
Th1 0.085 0.500 0.307

=====

Compound: Pm8YTh4
Source: Alexandria
Functional: PBE
Structure: optimized geometry

* energy of formation: 559 meV per atom

Lattice parameters (Å, degrees): 11.3458 11.3458 13.2037 90.00 90.00 120.00
Space group R-3m (No. 166, hexagonal axes)
One atom of each set of equivalent atoms:
Pm1 0.0000 0.0000 0.2371
Pm2 0.0084 0.5042 0.7358
Y1 0.0000 0.0000 0.5000
Th1 0.0000 0.0000 0.0000
Th2 0.0000 0.5000 0.0000

=====

Compound: Pm8Y6Th
Source: Alexandria
Functional: PBE
Structure: optimized geometry

* energy of formation: 113 meV per atom

Lattice parameters (Å, degrees): 9.1447 9.1447 20.9942 90.00 90.00 120.00
Space group R-3 (No. 148, hexagonal axes)
One atom of each set of equivalent atoms:
Pm1 0.0000 0.0000 0.0775
Pm2 0.0812 0.5609 0.3045
Y1 0.0465 0.2441 0.2070
Th1 0.0000 0.0000 0.5000

=====

Compound: Pm5Y4Th
Source: Alexandria
Functional: PBE
Structure: optimized geometry

* energy of formation: 284 meV per atom
* excess energy over the best structure of this formula in the dataset: 0.2414 eV per atom

Lattice parameters (Å, degrees): 10.493 10.493 6.283 90.00 90.00 90.00
Space group I4 (No. 79)
One atom of each set of equivalent atoms:
Pm1 0.000 0.000 0.000
Pm2 0.186 0.812 0.263
Y1 0.001 0.680 0.758
Th1 0.000 0.000 0.536

=====

Compound: PmYTh4
Source: Alexandria
Functional: PBE
Structure: optimized geometry

* energy of formation: 43 meV per atom
* excess energy over the best structure of this formula in the dataset: 0.0000 eV per atom

Lattice parameters (Å, degrees): 3.593 3.593 15.174 90.00 90.00 90.00
Space group P4/mmm (No. 123)
One atom of each set of equivalent atoms:
Pm1 0.000 0.000 0.000
Y1 0.500 0.500 0.500
Th1 0.000 0.000 0.332
Th2 0.500 0.500 0.171

=====

Compound: Pm6YTh
Source: Alexandria
Functional: PBE
Structure: optimized geometry

* energy of formation: 33 meV per atom
* excess energy over the best structure of this formula in the dataset: 0.0000 eV per atom

Lattice parameters (Å, degrees): 7.250 7.250 5.163 90.00 90.00 90.00
Space group P4/mmm (No. 123)
One atom of each set of equivalent atoms:
Pm1 0.000 0.500 0.000
Pm2 0.245 0.245 0.500
Y1 0.500 0.500 0.000
Th1 0.000 0.000 0.000

=====

Compound: PmY2Th
Source: Alexandria
Functional: PBE
Structure: optimized geometry

* energy of formation: 44 meV per atom
* excess energy over the best structure of this formula in the dataset: 0.0454 eV per atom

Lattice parameters (Å, degrees): 5.090 5.090 5.041 90.00 90.00 90.00
Space group P4/mmm (No. 123)
One atom of each set of equivalent atoms:
Pm1 0.000 0.000 0.000
Y1 0.000 0.500 0.500
Th1 0.500 0.500 0.000

=====

Compound: Pm6Y5Th
Source: Alexandria
Functional: PBE
Structure: optimized geometry

* energy of formation: 28 meV per atom

Lattice parameters (Å, degrees): 5.120 10.219 15.307 90.00 90.00 90.00
Space group Immm (No. 71)
One atom of each set of equivalent atoms:
Pm1 0.000 0.247 0.000
Pm2 0.000 0.251 0.336
Y1 0.000 0.000 0.164
Y2 0.000 0.000 0.500
Y3 0.000 0.500 0.168
Th1 0.000 0.500 0.500

=====

Compound: Pm12YTh5
Source: Alexandria
Functional: PBE
Structure: optimized geometry

* energy of formation: 60 meV per atom

Lattice parameters (Å, degrees): 18.764 10.859 6.283 90.00 108.92 90.00
Space group C2/m (No. 12)
One atom of each set of equivalent atoms:
Pm1 0.000 0.160 0.000
Pm2 0.000 0.336 0.500
Pm3 0.167 0.163 0.833
Pm4 0.168 0.336 0.336
Y1 0.000 0.500 0.000
Th1 0.000 0.000 0.500
Th2 0.166 0.000 0.332
Th3 0.168 0.500 0.829

=====

Compound: PmY2Th3
Source: Alexandria
Functional: PBE
Structure: optimized geometry

* energy of formation: 29 meV per atom

Lattice parameters (Å, degrees): 15.225 5.070 11.362 90.00 116.51 90.00
Space group C2/m (No. 12)
One atom of each set of equivalent atoms:
Pm1 0.128 0.000 0.132
Y1 0.040 0.500 0.868
Y2 0.206 0.000 0.869
Th1 0.043 0.000 0.379
Th2 0.123 0.500 0.621
Th3 0.210 0.500 0.379

=====

Compound: PmY14Th
Source: Alexandria
Functional: PBE
Structure: optimized geometry

* energy of formation: 25 meV per atom

Lattice parameters (Å, degrees): 7.170 7.170 10.103 90.00 90.00 90.00
Space group P4/mmm (No. 123)
One atom of each set of equivalent atoms:
Pm1 0.000 0.000 0.000
Y1 0.000 0.000 0.500
Y2 0.000 0.500 0.000
Y3 0.000 0.500 0.500
Y4 0.253 0.253 0.249
Y5 0.500 0.500 0.500
Th1 0.500 0.500 0.000

=====

Compound: Pm3Y8Th
Source: Alexandria
Functional: PBE
Structure: optimized geometry

* energy of formation: 24 meV per atom

Lattice parameters (Å, degrees): 10.937 11.500 6.345 90.00 90.00 90.00
Space group Imm2 (No. 44)
One atom of each set of equivalent atoms:
Pm1 0.000 0.000 0.000
Pm2 0.000 0.250 0.326
Y1 0.164 0.251 0.836
Y2 0.165 0.500 0.504
Y3 0.170 0.000 0.502
Th1 0.000 0.500 0.000

=====

Compound: Pm4Y4Th
Source: Alexandria
Functional: PBE
Structure: optimized geometry

* energy of formation: 28 meV per atom

Lattice parameters (Å, degrees): 10.832 10.832 5.102 90.00 90.00 90.00
Space group I4/mmm (No. 139)
One atom of each set of equivalent atoms:
Pm1 0.000 0.330 0.000
Y1 0.164 0.164 0.500
Th1 0.000 0.000 0.000

=====

Compound: Pm3Y6Th
Source: Alexandria
Functional: PBE
Structure: optimized geometry

* energy of formation: 159 meV per atom
* excess energy over the best structure of this formula in the dataset: 0.0000 eV per atom

Lattice parameters (Å, degrees): 11.211 19.061 6.329 90.00 90.00 90.00
Space group Cmc2_1 (No. 36)
One atom of each set of equivalent atoms:
Pm1 0.000 0.112 0.000
Pm2 0.174 0.388 0.613
Y1 0.000 0.226 0.421
Y2 0.000 0.454 0.173
Y3 0.164 0.045 0.527
Y4 0.246 0.209 0.695
Th1 0.000 0.295 0.924

=====

Compound: Pm6Y2Th3
Source: Alexandria
Functional: PBE
Structure: optimized geometry

* energy of formation: 181 meV per atom

Lattice parameters (Å, degrees): 5.964 11.481 11.223 90.00 98.06 90.00
Space group C2/m (No. 12)
One atom of each set of equivalent atoms:
Pm1 0.068 0.155 0.223
Pm2 0.085 0.500 0.272
Y1 0.000 0.356 0.000
Th1 0.000 0.000 0.500
Th2 0.000 0.321 0.500

=====

Compound: Pm5Y6Th2
Source: Alexandria
Functional: PBE
Structure: optimized geometry

* energy of formation: 112 meV per atom

Lattice parameters (Å, degrees): 11.618 21.001 3.601 90.00 90.00 90.00
Space group Pbam (No. 55)
One atom of each set of equivalent atoms:
Pm1 0.000 0.000 0.000
Pm2 0.067 0.293 0.000
Pm3 0.192 0.577 0.000
Y1 0.066 0.147 0.500
Y2 0.079 0.436 0.500
Y3 0.185 0.876 0.000
Th1 0.187 0.734 0.500

=====

Compound: PmY4Th2
Source: Alexandria
Functional: PBE
Structure: optimized geometry

* energy of formation: 86 meV per atom
* excess energy over the best structure of this formula in the dataset: 0.0000 eV per atom

Lattice parameters (Å, degrees): 3.530 8.806 8.871 119.40 90.09 101.48
Space group P-1 (No. 2)
One atom of each set of equivalent atoms:
Pm1 0.000 0.000 0.000
Y1 0.296 0.588 0.706
Y2 0.352 0.708 0.154
Th1 0.067 0.136 0.435

=====

Compound: PmYThZr
Source: Alexandria
Functional: PBE
Structure: optimized geometry

* energy of formation: 219 meV per atom

Lattice parameters (Å, degrees): 7.814 7.814 7.814 90.00 90.00 90.00
Space group F-43m (No. 216)
One atom of each set of equivalent atoms:
Pm1 0.000 0.000 0.000
Y1 0.250 0.250 0.250
Th1 0.250 0.250 0.750
Zr1 0.000 0.000 0.500

=====

Compound: PmTh2Zn
Source: Alexandria
Functional: PBE
Structure: optimized geometry

* energy of formation: 213 meV per atom
* excess energy over the best structure of this formula in the dataset: 0.2293 eV per atom

Lattice parameters (Å, degrees): 3.4180 3.4180 35.4820 90.00 90.00 120.00
Space group R-3m (No. 166, hexagonal axes)
One atom of each set of equivalent atoms:
Pm1 0.0000 0.0000 0.0000
Th1 0.0000 0.0000 0.0971
Zn1 0.0000 0.0000 0.5000